*w*
A relaxed structure of Rb3SnO3, computed with PBE.

```
data_Rb3SnO3
_chemical_formula_sum 'Rb6 Sn2 O6'
_cell_length_a 8.793
_cell_length_b 8.793
_cell_length_c 5.947
_cell_angle_alpha 90.00
_cell_angle_beta 90.00
_cell_angle_gamma 119.94
_symmetry_space_group_name_H-M 'P 1'
_symmetry_Int_Tables_number 1
_symmetry_space_group_name_Hall 'P 1'
loop_
_atom_site_label
_atom_site_fract_x
_atom_site_fract_y
_atom_site_fract_z
Rb1 0.170 0.830 0.750
Rb2 0.171 0.341 0.750
Rb3 0.341 0.171 0.250
Rb4 0.659 0.829 0.750
Rb5 0.829 0.659 0.250
Rb6 0.830 0.170 0.250
Sn1 0.333 0.667 0.250
Sn2 0.667 0.333 0.750
O1 0.202 0.798 0.250
O2 0.203 0.405 0.250
O3 0.405 0.203 0.750
O4 0.595 0.797 0.250
O5 0.797 0.595 0.750
O6 0.798 0.202 0.750
```

Values from the calculation:
The magnetization comes out at 0.00 Bohr magnetons per cell. The symmetry is No. 63.

***

*x*
A relaxed structure of Rb3SnO3, computed with PBE.

```
data_Rb3SnO3
_chemical_formula_sum 'Rb3 Sn1 O3'
_cell_length_a 7.070
_cell_length_b 7.070
_cell_length_c 7.070
_cell_angle_alpha 115.70
_cell_angle_beta 115.70
_cell_angle_gamma 115.70
_symmetry_space_group_name_H-M 'P 1'
_symmetry_Int_Tables_number 1
_symmetry_space_group_name_Hall 'P 1'
loop_
_atom_site_label
_atom_site_fract_x
_atom_site_fract_y
_atom_site_fract_z
Rb1 0.020 0.490 0.490
Rb2 0.490 0.020 0.490
Rb3 0.490 0.490 0.020
Sn1 0.020 0.020 0.020
O1 0.079 0.079 0.354
O2 0.079 0.354 0.079
O3 0.354 0.079 0.079
```

Values from the calculation:
The magnetization comes out at 0.00 Bohr magnetons per cell. The symmetry is No. 160.

***

What should be chosen as the least stable of them? Choose *w*.

***

*w*
A relaxed structure of RbTaO2, computed with PBE.

```
data_RbTaO2
_chemical_formula_sum 'Rb1 Ta1 O2'
_cell_length_a 7.809
_cell_length_b 7.809
_cell_length_c 7.809
_cell_angle_alpha 25.08
_cell_angle_beta 25.08
_cell_angle_gamma 25.08
_symmetry_space_group_name_H-M 'P 1'
_symmetry_Int_Tables_number 1
_symmetry_space_group_name_Hall 'P 1'
loop_
_atom_site_label
_atom_site_fract_x
_atom_site_fract_y
_atom_site_fract_z
Rb1 0.000 0.000 0.000
Ta1 0.500 0.500 0.500
O1 0.418 0.418 0.418
O2 0.582 0.582 0.582
```

Values from the calculation:
The magnetization comes out at 0.00 Bohr magnetons per cell. The symmetry is No. 166.

***

*x*
A relaxed structure of RbTaO2, computed with PBE.

```
data_RbTaO2
_chemical_formula_sum 'Rb2 Ta2 O4'
_cell_length_a 6.833
_cell_length_b 6.833
_cell_length_c 6.833
_cell_angle_alpha 133.04
_cell_angle_beta 133.04
_cell_angle_gamma 68.59
_symmetry_space_group_name_H-M 'P 1'
_symmetry_Int_Tables_number 1
_symmetry_space_group_name_Hall 'P 1'
loop_
_atom_site_label
_atom_site_fract_x
_atom_site_fract_y
_atom_site_fract_z
Rb1 0.000 0.000 0.000
Rb2 0.750 0.250 0.500
Ta1 0.250 0.750 0.500
Ta2 0.500 0.500 0.000
O1 0.340 0.625 0.215
O2 0.375 0.590 0.715
O3 0.410 0.125 0.785
O4 0.875 0.660 0.285
```

Values from the calculation:
The magnetization comes out at 0.92 Bohr magnetons per cell. The symmetry is No. 122.

***

*y*
A relaxed structure of RbTaO2, computed with PBE.

```
data_RbTaO2
_chemical_formula_sum 'Rb1 Ta1 O2'
_cell_length_a 7.796
_cell_length_b 7.796
_cell_length_c 7.796
_cell_angle_alpha 23.18
_cell_angle_beta 23.18
_cell_angle_gamma 23.18
_symmetry_space_group_name_H-M 'P 1'
_symmetry_Int_Tables_number 1
_symmetry_space_group_name_Hall 'P 1'
loop_
_atom_site_label
_atom_site_fract_x
_atom_site_fract_y
_atom_site_fract_z
Rb1 0.000 0.000 0.000
Ta1 0.500 0.500 0.500
O1 0.114 0.114 0.114
O2 0.886 0.886 0.886
```

Values from the calculation:
The magnetization comes out at 0.00 Bohr magnetons per cell. The symmetry is No. 166.

***

What should be chosen as the least stable of them? Choose *w*.

***

*w*
A relaxed structure of Rb3TcO4, computed with PBE.

```
data_Rb3TcO4
_chemical_formula_sum 'Rb6 Tc2 O8'
_cell_length_a 8.948
_cell_length_b 6.565
_cell_length_c 6.827
_cell_angle_alpha 90.00
_cell_angle_beta 90.00
_cell_angle_gamma 90.00
_symmetry_space_group_name_H-M 'P 1'
_symmetry_Int_Tables_number 1
_symmetry_space_group_name_Hall 'P 1'
loop_
_atom_site_label
_atom_site_fract_x
_atom_site_fract_y
_atom_site_fract_z
Rb1 0.000 0.236 0.000
Rb2 0.245 0.298 0.561
Rb3 0.255 0.702 0.061
Rb4 0.500 0.764 0.500
Rb5 0.745 0.702 0.061
Rb6 0.755 0.298 0.561
Tc1 0.000 0.775 0.588
Tc2 0.500 0.225 0.088
O1 0.000 0.050 0.644
O2 0.000 0.617 0.816
O3 0.175 0.710 0.456
O4 0.325 0.290 0.956
O5 0.500 0.383 0.316
O6 0.500 0.950 0.144
O7 0.675 0.290 0.956
O8 0.825 0.710 0.456
```

Values from the calculation:
The magnetization comes out at 3.99 Bohr magnetons per cell. The symmetry is No. 31.

***

*x*
A relaxed structure of Rb3TcO4, computed with PBE.

```
data_Rb3TcO4
_chemical_formula_sum 'Rb3 Tc1 O4'
_cell_length_a 6.444
_cell_length_b 6.444
_cell_length_c 6.444
_cell_angle_alpha 120.33
_cell_angle_beta 93.15
_cell_angle_gamma 116.11
_symmetry_space_group_name_H-M 'P 1'
_symmetry_Int_Tables_number 1
_symmetry_space_group_name_Hall 'P 1'
loop_
_atom_site_label
_atom_site_fract_x
_atom_site_fract_y
_atom_site_fract_z
Rb1 0.000 0.000 0.000
Rb2 0.288 0.521 0.767
Rb3 0.754 0.521 0.233
Tc1 0.548 0.048 0.500
O1 0.225 0.901 0.325
O2 0.576 0.901 0.675
O3 0.710 0.442 0.731
O4 0.710 0.979 0.269
```

Values from the calculation:
The magnetization comes out at 1.99 Bohr magnetons per cell. The symmetry is No. 44.

***

What should be chosen as the least stable of them? Choose *x*.

***

*w*
A relaxed structure of Rb2TcO2, computed with PBE.

```
data_Rb2TcO2
_chemical_formula_sum 'Rb2 Tc1 O2'
_cell_length_a 5.878
_cell_length_b 5.878
_cell_length_c 5.878
_cell_angle_alpha 128.79
_cell_angle_beta 128.79
_cell_angle_gamma 75.35
_symmetry_space_group_name_H-M 'P 1'
_symmetry_Int_Tables_number 1
_symmetry_space_group_name_Hall 'P 1'
loop_
_atom_site_label
_atom_site_fract_x
_atom_site_fract_y
_atom_site_fract_z
Rb1 0.160 0.160 0.000
Rb2 0.840 0.840 0.000
Tc1 0.500 0.500 0.000
O1 0.250 0.750 0.500
O2 0.750 0.250 0.500
```

Values from the calculation:
The magnetization comes out at 5.03 Bohr magnetons per cell. The symmetry is No. 139.

***

*x*
A relaxed structure of Rb2TcO2, computed with PBE.

```
data_Rb2TcO2
_chemical_formula_sum 'Rb4 Tc2 O4'
_cell_length_a 8.127
_cell_length_b 8.127
_cell_length_c 3.151
_cell_angle_alpha 90.00
_cell_angle_beta 90.00
_cell_angle_gamma 90.00
_symmetry_space_group_name_H-M 'P 1'
_symmetry_Int_Tables_number 1
_symmetry_space_group_name_Hall 'P 1'
loop_
_atom_site_label
_atom_site_fract_x
_atom_site_fract_y
_atom_site_fract_z
Rb1 0.131 0.369 0.000
Rb2 0.369 0.869 0.000
Rb3 0.631 0.131 0.000
Rb4 0.869 0.631 0.000
Tc1 0.000 0.000 0.000
Tc2 0.500 0.500 0.000
O1 0.173 0.673 0.500
O2 0.327 0.173 0.500
O3 0.673 0.827 0.500
O4 0.827 0.327 0.500
```

Values from the calculation:
The magnetization comes out at 10.52 Bohr magnetons per cell. The symmetry is No. 127.

***

What should be chosen as the least stable of them? Choose *w*.